SrCaRe | PBE | optimized geometry

Unit cell a=5.1888 b=5.1888 c=5.1888 alpha=60.00 beta=60.00 gamma=60.00
Closest atoms and distances in Å follow each position.
Element x y z (fractional)
Re1 0.7500 0.7500 0.7500  4 Ca 3.18, 4 Sr 3.18
Ca1 0.5000 0.5000 0.5000  4 Re 3.18
Sr1 0.0000 0.0000 0.0000  4 Re 3.18

Properties
energy of formation	3.770	eV per formula unit
total DFT energy (no corrections)	-4.121	eV per atom
relative energy among the computed polymorphs	342	meV per atom



Sr3CaRe | PBE | optimized geometry

Unit cell a=6.3108 b=6.3108 c=6.3108 alpha=90.00 beta=90.00 gamma=90.00
Closest atoms and distances in Å follow each position.
Element x y z (fractional)
Re1 0.5000 0.5000 0.5000  12 Sr 4.46
Sr1 0.0000 0.5000 0.0000  2 Ca 3.16
Sr2 0.5000 0.0000 0.0000  2 Ca 3.16
Sr3 0.0000 0.0000 0.5000  2 Ca 3.16
Ca1 0.0000 0.0000 0.0000  6 Sr 3.16

Properties
energy of formation	9.208	eV per formula unit
total DFT energy (no corrections)	-2.057	eV per atom
relative energy among the computed polymorphs	1174	meV per atom



Sr3CaRe | PBE | optimized geometry

Unit cell a=5.9973 b=5.9973 c=5.9973 alpha=90.00 beta=90.00 gamma=90.00
Closest atoms and distances in Å follow each position.
Element x y z (fractional)
Re1 0.0000 0.0000 0.0000  6 Sr 3.00
Sr1 0.5000 0.0000 0.0000  2 Re 3.00
Sr2 0.0000 0.0000 0.5000  2 Re 3.00
Sr3 0.0000 0.5000 0.0000  2 Re 3.00
Ca1 0.5000 0.5000 0.5000  12 Sr 4.24

Properties
energy of formation	3.337	eV per formula unit
total DFT energy (no corrections)	-3.232	eV per atom
relative energy among the computed polymorphs	0	meV per atom



SrCaRe | PBE | optimized geometry

Unit cell a=5.9939 b=5.9939 c=5.9939 alpha=150.86 beta=132.97 gamma=56.29
Closest atoms and distances in Å follow each position.
Element x y z (fractional)
Re1 0.6568 0.6568 0.0000  2 Re 3.02, 4 Ca 3.16, 4 Sr 3.31
Ca1 0.0227 0.0227 0.0000  2 Ca 3.02, 1 Sr 3.15, 4 Re 3.16
Sr1 0.3205 0.3205 0.0000  2 Sr 3.02, 1 Ca 3.15, 4 Re 3.31

Properties
energy of formation	2.845	eV per formula unit
total DFT energy (no corrections)	-4.429	eV per atom
relative energy among the computed polymorphs	33	meV per atom



SrCaRe3 | PBE | optimized geometry

Unit cell a=4.8657 b=4.8657 c=4.8657 alpha=90.00 beta=90.00 gamma=90.00
Closest atoms and distances in Å follow each position.
Element x y z (fractional)
Ca1 0.0000 0.0000 0.0000  6 Re 2.43
Re1 0.0000 0.0000 0.5000  2 Ca 2.43
Re2 0.0000 0.5000 0.0000  2 Ca 2.43
Re3 0.5000 0.0000 0.0000  2 Ca 2.43
Sr1 0.5000 0.5000 0.5000  12 Re 3.44

Properties
energy of formation	13.903	eV per formula unit
total DFT energy (no corrections)	-5.425	eV per atom
relative energy among the computed polymorphs	0	meV per atom



SrCaRe | PBE | optimized geometry

Unit cell a=8.0334 b=8.0333 c=3.3955 alpha=77.80 beta=77.80 gamma=24.40
Closest atoms and distances in Å follow each position.
Element x y z (fractional)
Sr1 0.7025 0.7025 0.2975  4 Re 3.17, 4 Sr 3.40
Re1 0.3378 0.3378 0.6622  4 Ca 3.04, 4 Sr 3.17, 4 Re 3.40
Ca1 0.9598 0.9598 0.0402  4 Re 3.04, 4 Ca 3.40

Properties
energy of formation	2.745	eV per formula unit
total DFT energy (no corrections)	-4.462	eV per atom
relative energy among the computed polymorphs	0	meV per atom



Which of these has the highest energy of formation? SrCaRe3



Among the records above, which one has the highest relative energy among the computed polymorphs? number 2



Which formula does entry 1 have? SrCaRe